Record 1
Below is Sc2Hg after structural relaxation, with properties calculated at the PBE-GGA level.

Cell: 14.056 14.056 14.056 Å, 166.99 166.99 18.44°
Sites, in units of the cell vectors:
Sc  0.300  0.550  0.750
Sc  0.450  0.700  0.750
Sc  0.550  0.300  0.250
Sc  0.700  0.450  0.250
Hg  0.125  0.875  0.250
Hg  0.875  0.125  0.750

Calculated values
Energy of formation from the pure elements (eV/atom): -0.092
Symmetry: No. 141

Record 2
Below is Na3HfSb2Te6 after structural relaxation, with properties calculated at the PBE-GGA level.

Cell: 7.709 7.709 7.820 Å, 99.46 99.46 120.24°
Sites, in units of the cell vectors:
Na  0.000  0.000  0.000
Na  0.323  0.677  0.000
Na  0.677  0.323  0.000
Hf  0.500  0.500  0.500
Sb  0.164  0.836  0.500
Sb  0.836  0.164  0.500
Te  0.112  0.426  0.279
Te  0.262  0.262  0.724
Te  0.426  0.112  0.279
Te  0.574  0.888  0.721
Te  0.738  0.738  0.276
Te  0.888  0.574  0.721

Calculated values
Symmetry: No. 12
Formation energy without anion corrections (kJ/mol of formula units): -652

Record 3
Below is CrTe2Ir after structural relaxation, with properties calculated at the PBE-GGA level.

Cell: 4.808 4.808 3.370 Å, 90.00 90.00 90.00°
Sites, in units of the cell vectors:
Cr  0.000  0.000  0.000
Te  0.000  0.500  0.500
Te  0.500  0.000  0.500
Ir  0.500  0.500  0.000

Calculated values
Excess energy over the best structure of this formula in the dataset (meV/atom): 393
Symmetry: No. 123
Formation energy without anion corrections (kJ/mol of formula units): 124

Record 4
Below is ReTc2Ru6 after structural relaxation, with properties calculated at the PBE-GGA level.

Cell: 7.916 7.916 5.398 Å, 109.87 109.87 56.22°
Sites, in units of the cell vectors:
Re  0.015  0.985  0.750
Re  0.985  0.015  0.250
Tc  0.319  0.348  0.583
Tc  0.348  0.319  0.083
Tc  0.652  0.681  0.917
Tc  0.681  0.652  0.417
Ru  0.000  0.333  0.675
Ru  0.000  0.667  0.325
Ru  0.001  0.333  0.159
Ru  0.333  0.000  0.175
Ru  0.333  0.001  0.659
Ru  0.334  0.666  0.008
Ru  0.334  0.666  0.492
Ru  0.666  0.334  0.508
Ru  0.666  0.334  0.992
Ru  0.667  0.000  0.825
Ru  0.667  0.999  0.341
Ru  0.999  0.667  0.841

Calculated values
Energy of formation from the pure elements (eV/atom): 0.158
Symmetry: No. 15

Record 5
Below is Hf12SnSb6 after structural relaxation, with properties calculated at the PBE-GGA level.

Cell: 7.545 7.545 7.545 Å, 92.10 92.10 92.10°
Sites, in units of the cell vectors:
Hf  0.030  0.933  0.300
Hf  0.067  0.700  0.970
Hf  0.130  0.454  0.360
Hf  0.300  0.030  0.933
Hf  0.360  0.130  0.454
Hf  0.454  0.360  0.130
Hf  0.546  0.640  0.870
Hf  0.640  0.870  0.546
Hf  0.700  0.970  0.067
Hf  0.870  0.546  0.640
Hf  0.933  0.300  0.030
Hf  0.970  0.067  0.700
Sn  0.500  0.500  0.500
Sb  0.210  0.381  0.783
Sb  0.217  0.790  0.619
Sb  0.381  0.783  0.210
Sb  0.619  0.217  0.790
Sb  0.783  0.210  0.381
Sb  0.790  0.619  0.217

Calculated values
Symmetry: No. 148
Formation energy without anion corrections (kJ/mol of formula units): -329

Record 6
Below is AlPbSe2 after structural relaxation, with properties calculated at the PBE-GGA level.

Cell: 6.200 6.200 6.200 Å, 146.15 126.94 64.44°
Sites, in units of the cell vectors:
Al  0.000  0.000  0.000
Pb  0.500  0.500  0.000
Se  0.163  0.663  0.500
Se  0.837  0.337  0.500

Calculated values
Symmetry: No. 71
Formation energy without anion corrections (kJ/mol of formula units): -155

Record 7
Below is BaLaMnPd2 after structural relaxation, with properties calculated at the PBE-GGA level.

Cell: 5.389 5.389 5.453 Å, 90.00 90.00 90.00°
Sites, in units of the cell vectors:
Ba  0.000  0.000  0.000
La  0.500  0.500  0.500
Mn  0.000  0.000  0.500
Pd  0.000  0.500  0.000
Pd  0.500  0.000  0.000

Calculated values
Energy of formation from the pure elements (eV/atom): 0.835
Symmetry: No. 123

Record 8
Below is Mg2Cu3Se after structural relaxation, with properties calculated at the PBE-GGA level.

Cell: 4.033 4.033 15.365 Å, 90.00 90.00 120.00°
Sites, in units of the cell vectors:
Mg  0.333  0.667  0.145
Mg  0.333  0.667  0.355
Mg  0.667  0.333  0.645
Mg  0.667  0.333  0.855
Cu  0.000  0.000  0.000
Cu  0.000  0.000  0.500
Cu  0.333  0.667  0.531
Cu  0.333  0.667  0.969
Cu  0.667  0.333  0.031
Cu  0.667  0.333  0.469
Se  0.000  0.000  0.250
Se  0.000  0.000  0.750

Calculated values
Excess energy over the best structure of this formula in the dataset (meV/atom): 0
Symmetry: No. 194
Formation energy without anion corrections (kJ/mol of formula units): -158

Record 9
Below is ZrNiSe2N after structural relaxation, with properties calculated at the PBE-GGA level.

Cell: 5.289 5.289 4.068 Å, 90.00 90.00 90.00°
Sites, in units of the cell vectors:
Zr  0.000  0.000  0.000
Ni  0.500  0.500  0.500
Se  0.000  0.500  0.000
Se  0.500  0.000  0.000
N  0.000  0.000  0.500

Calculated values
Excess energy over the best structure of this formula in the dataset (meV/atom): 329
Symmetry: No. 123
Formation energy without anion corrections (kJ/mol of formula units): 186

Record 10
Below is BaHoReO6 after structural relaxation, with properties calculated at the PBE-GGA level.

Cell: 5.607 5.607 5.622 Å, 90.00 90.00 120.00°
Sites, in units of the cell vectors:
Ba  0.000  0.000  0.000
Ho  0.333  0.667  0.500
Re  0.667  0.333  0.500
O  0.402  0.043  0.695
O  0.402  0.359  0.305
O  0.641  0.043  0.305
O  0.641  0.598  0.695
O  0.957  0.359  0.695
O  0.957  0.598  0.305

Calculated values
Symmetry: No. 149
Formation energy without anion corrections (kJ/mol of formula units): -2168

Record 11
Below is LaMg2GeIr2 after structural relaxation, with properties calculated at the PBE-GGA level.

Cell: 4.700 4.700 6.072 Å, 90.00 90.00 90.00°
Sites, in units of the cell vectors:
La  0.000  0.000  0.000
Mg  0.500  0.500  0.253
Mg  0.500  0.500  0.747
Ge  0.000  0.000  0.500
Ir  0.000  0.500  0.500
Ir  0.500  0.000  0.500

Calculated values
Energy of formation from the pure elements (eV/atom): -0.209
Symmetry: No. 123

Record 12
Below is K2HfNi after structural relaxation, with properties calculated at the PBE-GGA level.

Cell: 9.036 9.036 9.036 Å, 93.82 93.82 150.07°
Sites, in units of the cell vectors:
K  0.375  0.031  0.156
K  0.781  0.625  0.656
K  0.875  0.219  0.844
K  0.969  0.125  0.344
Hf  0.250  0.750  0.500
Hf  0.500  0.500  0.000
Ni  0.000  0.000  0.000
Ni  0.750  0.250  0.500

Calculated values
Energy of formation from the pure elements (eV/atom): 0.942
Excess energy over the best structure of this formula in the dataset (meV/atom): 0
Symmetry: No. 122